DFT (PBE with a Hubbard U) results for a geometry-optimized Sr3NbCoO7 structure.

Unit cell a=4.001 b=3.971 c=21.389 alpha=90.00 beta=90.00 gamma=90.00
Fractional coordinates of all 24 atoms:
Sr1 0.000 0.238 0.000
Sr2 0.000 0.243 0.162
Sr3 0.000 0.246 0.790
Sr4 0.500 0.754 0.290
Sr5 0.500 0.757 0.662
Sr6 0.500 0.762 0.500
Nb1 0.000 0.254 0.382
Nb2 0.500 0.746 0.882
Co1 0.000 0.271 0.589
Co2 0.500 0.729 0.089
O1 0.000 0.232 0.678
O2 0.000 0.250 0.471
O3 0.000 0.253 0.283
O4 0.000 0.748 0.077
O5 0.000 0.748 0.577
O6 0.000 0.748 0.876
O7 0.000 0.753 0.376
O8 0.500 0.247 0.876
O9 0.500 0.252 0.077
O10 0.500 0.252 0.376
O11 0.500 0.252 0.577
O12 0.500 0.747 0.783
O13 0.500 0.750 0.971
O14 0.500 0.768 0.178

Summary:
VASP energy ... -168.3 eV per cell